Entry from Alexandria: a relaxed structure of CsHCl2 (PBEsol).

Cell lengths 6.7603, 6.7603, 6.7603 Å; angles 47.21, 47.21, 47.21 degrees
Element x y z (fractional)
Cs (0.0000, 0.0000, 0.0000)
H (0.5000, 0.5000, 0.5000)
Cl (0.4135, 0.4135, 0.4135)
Cl (0.5865, 0.5865, 0.5865)

Values from the calculation:
**M_tot**: 0.001 μB/cell
**Symmetry**: R-3m, No. 166
**Final energy**: -3.3455 eV/atom


Entry from Alexandria: a relaxed structure of LiTcSb2 (PBEsol).

Cell lengths 4.4390, 5.1835, 5.1835 Å; angles 37.04, 90.00, 90.00 degrees
Element x y z (fractional)
Li (0.0000, 0.0000, 0.0000)
Tc (0.5000, 0.1531, 0.1531)
Sb (0.0000, 0.7301, 0.7301)
Sb (0.5000, 0.4377, 0.4377)

Values from the calculation:
**M_tot**: 0.000 μB/cell
**Relative energy among the computed polymorphs**: 14.3 kJ per mole of atoms
**Symmetry**: Amm2, No. 38
**Final energy**: -5.6317 eV/atom


Entry from Alexandria: a relaxed structure of TlCrAs (PBEsol).

Cell lengths 5.9974, 5.9974, 5.9974 Å; angles 148.31, 148.31, 45.42 degrees
Element x y z (fractional)
Tl (0.0000, 0.0000, 0.0000)
Cr (0.2979, 0.2979, 0.0000)
As (0.7163, 0.7163, 0.0000)

Values from the calculation:
**Energy relative to the elements**: 259.1 meV per atom
**M_tot**: 2.731 μB/cell
**Symmetry**: I4mm, No. 107
**Final energy**: -5.7337 eV/atom